Compound: Pr5ThSb4
Source: the Alexandria database
Functional: PBE
Structure: relaxed

Properties
E_form (uncorrected): -758 meV/atom

Cell and atoms, written as CIF:
```
data_Pr5ThSb4
_cell_length_a 19.394
_cell_length_b 4.460
_cell_length_c 8.821
_cell_angle_alpha 90.00
_cell_angle_beta 105.08
_cell_angle_gamma 90.00
_symmetry_space_group_name_H-M 'C 1 2/m 1'
_symmetry_Int_Tables_number 12
loop_
_symmetry_equiv_pos_as_xyz
'x,y,z'
'-x,-y,-z'
'-x,y,-z'
'x,-y,z'
'x+1/2,y+1/2,z'
'-x+1/2,-y+1/2,-z'
'-x+1/2,y+1/2,-z'
'x+1/2,-y+1/2,z'
loop_
_atom_site_label
_atom_site_fract_x
_atom_site_fract_y
_atom_site_fract_z
_atom_site_occupancy
Pr1 0.000 0.000 0.000 1
Pr2 0.163 0.500 0.329 1
Pr3 0.175 0.500 0.846 1
Th1 0.000 0.000 0.500 1
Sb1 0.007 0.500 0.755 1
Sb2 0.169 0.000 0.589 1
```